A relaxed structure of Ba3Cr2MoO9, computed with PBE+U.

Cell lengths 5.7952, 5.7952, 14.2755 Å; angles 90.00, 90.00, 120.00 degrees
Last column: nearest neighbours and their distance in Å.
Space group P6_3/mmc (No. 194)
Unique sites:
Ba 0.0000 0.0000 0.2500 x2  12 O 2.90-2.93
Ba 0.3333 0.6667 0.1027 x4  12 O 2.79-3.11
Cr 0.3333 0.6667 0.6583 x4  6 O 2.00-2.08
Mo 0.0000 0.0000 0.0000 x2  6 O 1.96
O 0.0326 0.5163 0.7500 x6  2 Cr 2.00
O 0.1602 0.3205 0.5781 x12  1 Mo 1.96, 1 Cr 2.08

Computed properties:
- Size of the total moment: 6.00 μB per formula unit
- E_tot: -107.143 eV/f.u.